DFT (PBE-GGA) results for an optimized crystal structure of ErCo2.

The space group is Fd-3m (No. 227, origin choice 2) and the conventional cell measures 7.129, 7.129 and 7.129 Å, with angles of 90.00, 90.00 and 90.00 degrees. The asymmetric unit holds Er at (0.125, 0.125, 0.125) and Co at (0.000, 0.000, 0.500).

Its theoretical density is 10.45 g cm⁻³. The value obtained for the raw total energy is -156.00 eV per cell.

=====

DFT (PBE-GGA) results for an optimized crystal structure of InF.

The space group is Pmn2_1 (No. 31) and the conventional cell measures 10.831, 4.069 and 6.045 Å, with angles of 90.00, 90.00 and 90.00 degrees. The asymmetric unit holds In at (0.000, 0.081, 0.000), In at (0.155, 0.645, 0.475), F at (0.000, 0.236, 0.630) and F at (0.163, 0.751, 0.861).

Its theoretical density is 5.01 g cm⁻³. The value obtained for the raw total energy is -47.24 eV per cell.

=====

DFT (PBE-GGA) results for an optimized crystal structure of AlH3NCl3.

The space group is Pbca (No. 61) and the conventional cell measures 10.165, 12.022 and 10.206 Å, with angles of 90.00, 90.00 and 90.00 degrees. The asymmetric unit holds Al at (0.096, 0.161, 0.167), H at (0.180, 0.582, 0.100), H at (0.200, 0.008, 0.033), H at (0.241, 0.130, 0.971), N at (0.228, 0.088, 0.058), Cl at (0.061, 0.057, 0.333), Cl at (0.074, 0.669, 0.457) and Cl at (0.175, 0.181, 0.720).

Its theoretical density is 1.60 g cm⁻³. The value obtained for the raw total energy is -290.28 eV per cell.

=====

DFT (PBE-GGA) results for an optimized crystal structure of Li3Np3PtS8.

The space group is R-3m (No. 166, hexagonal axes) and the conventional cell measures 7.5826, 7.5826 and 18.7024 Å, with angles of 90.00, 90.00 and 120.00 degrees. The asymmetric unit holds Li at (0.0000, 0.5000, 0.0000), Np at (0.0000, 0.5000, 0.5000), Pt at (0.0000, 0.0000, 0.5000), S at (0.0000, 0.0000, 0.2523) and S at (0.0219, 0.5110, 0.2470).

Its theoretical density is 6.33 g cm⁻³. The value obtained for the raw total energy is -301.79 eV per cell.

=====

DFT (PBE-GGA) results for an optimized crystal structure of CaMg2ZnCd4.

The space group is R-3m (No. 166, hexagonal axes) and the conventional cell measures 4.9710, 4.9710 and 25.6985 Å, with angles of 90.00, 90.00 and 120.00 degrees. The asymmetric unit holds Ca at (0.0000, 0.0000, 0.0000), Mg at (0.0000, 0.0000, 0.2495), Zn at (0.0000, 0.0000, 0.5000), Cd at (0.0000, 0.0000, 0.1294) and Cd at (0.0000, 0.0000, 0.3888).

Its theoretical density is 5.47 g cm⁻³. The value obtained for the raw total energy is -32.96 eV per cell.

=====

DFT (PBE-GGA) results for an optimized crystal structure of LaSm3Tl4.

The space group is P4/mmm (No. 123) and the conventional cell measures 5.529, 5.529 and 7.729 Å, with angles of 90.00, 90.00 and 90.00 degrees. The asymmetric unit holds La at (0.000, 0.000, 0.000), Sm at (0.000, 0.000, 0.500), Sm at (0.500, 0.500, 0.000), Sm at (0.500, 0.500, 0.500) and Tl at (0.000, 0.500, 0.257).

Its theoretical density is 9.89 g cm⁻³. The value obtained for the raw total energy is -31.66 eV per cell.

=====

DFT (PBE-GGA) results for an optimized crystal structure of BaReW2.

The space group is C2/m (No. 12) and the conventional cell measures 9.733, 3.231 and 6.324 Å, with angles of 90.00, 102.64 and 90.00 degrees. The asymmetric unit holds Ba at (0.000, 0.000, 0.000), Re at (0.000, 0.500, 0.500) and W at (0.210, 0.000, 0.627).

Its theoretical density is 11.83 g cm⁻³. The value obtained for the raw total energy is -72.67 eV per cell.

=====

DFT (PBE-GGA) results for an optimized crystal structure of GaHg2Cl8.

The space group is C2/m (No. 12) and the conventional cell measures 12.394, 6.189 and 10.512 Å, with angles of 90.00, 109.31 and 90.00 degrees. The asymmetric unit holds Ga at (0.000, 0.000, 0.000), Hg at (0.171, 0.500, 0.567), Cl at (0.042, 0.500, 0.688), Cl at (0.133, 0.247, 0.101) and Cl at (0.180, 0.000, 0.526).

Its theoretical density is 3.29 g cm⁻³. The value obtained for the raw total energy is -49.42 eV per cell.

=====

| no. | magnetization (Bohr magnetons per cell) |
| --- | --- |
| 1 | 15.72 |
| 2 | 0.00 |
| 3 | 0.00 |
| 4 | 32.55 |
| 5 | 0.00 |
| 6 | 0.00 |
| 7 | 0.00 |
| 8 | 0.00 |